Crystalline HfZrS2 at its relaxed geometry, computed with PBE.

a b c (Å): 7.097 6.744 5.833
angles (deg): 90.00 90.00 90.00
Space group Pbcn (No. 60)
Symmetry-distinct sites (fractional):
Hf: 0.000 0.125 0.250
Zr: 0.000 0.375 0.750
S: 0.248 0.125 0.583

- formation energy from raw total energies (meV per atom) = -1479

***

Crystalline LaWI2N at its relaxed geometry, computed with PBE.

a b c (Å): 5.712 5.712 3.893
angles (deg): 90.00 90.00 90.00
Space group P4/mmm (No. 123)
Symmetry-distinct sites (fractional):
La: 0.000 0.000 0.000
W: 0.500 0.500 0.500
I: 0.000 0.500 0.500
N: 0.500 0.500 0.000

- formation energy from raw total energies (meV per atom) = -43

***

Crystalline TcSe at its relaxed geometry, computed with PBE.

a b c (Å): 3.0960 3.0960 29.3522
angles (deg): 90.00 90.00 120.00
Space group R-3m (No. 166, hexagonal axes)
Symmetry-distinct sites (fractional):
Tc: 0.0000 0.0000 0.1273
Se: 0.0000 0.0000 0.4040

- formation energy from raw total energies (meV per atom) = -76

***

Crystalline ErPuGeS at its relaxed geometry, computed with PBE.

a b c (Å): 4.0334 4.0334 19.7463
angles (deg): 90.00 90.00 120.00
Space group R3m (No. 160, hexagonal axes)
Symmetry-distinct sites (fractional):
Er: 0.0000 0.0000 0.0000
Pu: 0.0000 0.0000 0.5058
Ge: 0.0000 0.0000 0.7526
S: 0.0000 0.0000 0.2534

- formation energy from raw total energies (meV per atom) = -1209

***

Crystalline Ba3SbAu at its relaxed geometry, computed with PBE.

a b c (Å): 6.176 6.176 6.176
angles (deg): 90.00 90.00 90.00
Space group Pm-3m (No. 221)
Symmetry-distinct sites (fractional):
Ba: 0.000 0.000 0.500
Sb: 0.500 0.500 0.500
Au: 0.000 0.000 0.000

- formation energy from raw total energies (meV per atom) = -487

***

Crystalline TbCuPb2 at its relaxed geometry, computed with PBE.

a b c (Å): 4.703 4.703 4.454
angles (deg): 90.00 90.00 90.00
Space group P4/mmm (No. 123)
Symmetry-distinct sites (fractional):
Tb: 0.000 0.000 0.000
Cu: 0.500 0.500 0.000
Pb: 0.000 0.500 0.500

- energy relative to the elements (eV per atom) = -0.172

***

| no. | total magnetic moment (μB/f.u.) |
| --- | --- |
| 1 | 0.0 |
| 2 | 0.0 |
| 3 | 0.0 |
| 4 | 5.1 |
| 5 | 0.0 |
| 6 | 0.0 |